A relaxed BaCr2Tc crystal. Source: Alexandria via LeMat-Bulk, functional PBE.

The space group is R3m (No. 160, hexagonal axes) and the conventional cell measures 3.1247, 3.1247 and 28.2043 Å, with angles of 90.00, 90.00 and 120.00 degrees. The asymmetric unit holds Ba at (0.0000, 0.0000, 0.0000), Cr at (0.0000, 0.0000, 0.2253), Cr at (0.0000, 0.0000, 0.4939) and Tc at (0.0000, 0.0000, 0.7703).

Its energy above the most stable polymorph in this dataset is 409.6 meV/atom. As for the energy of formation: 24.0 kcal/mol of atoms. The value obtained for the density is 7.09 Mg/m³. The value obtained for the electronic total energy is -6.842 eV per atom. As for the crystal system: trigonal. As for the density of states at the Fermi level: 4.6 states/eV/f.u.